--- a ---
The following is a DFT calculation (PBE) of LiSnPHO5 after structural relaxation.

a = 4.7531 Å, b = 6.3018 Å, c = 8.3715 Å
α = 79.08°, β = 74.61°, γ = 71.75°
Space group P-1 (No. 2)
One atom of each set of equivalent atoms:
Li 0.0356 0.4033 0.1634 (multiplicity 2)
Sn 0.0000 0.0000 0.0000 (multiplicity 1)
Sn 0.5000 0.0000 0.5000 (multiplicity 1)
P 0.4075 0.7494 0.1586 (multiplicity 2)
H 0.3916 0.7075 0.7909 (multiplicity 2)
O 0.0103 0.4101 0.4731 (multiplicity 2)
O 0.2113 0.8360 0.7687 (multiplicity 2)
O 0.2486 0.2772 0.9360 (multiplicity 2)
O 0.3419 0.8582 0.3193 (multiplicity 2)
O 0.3469 0.5200 0.1838 (multiplicity 2)


--- b ---
The following is a DFT calculation (PBE) of LiSnPHO5 after structural relaxation.

a = 6.1398 Å, b = 6.1744 Å, c = 7.0528 Å
α = 111.97°, β = 97.39°, γ = 103.67°
Space group P-1 (No. 2)
One atom of each set of equivalent atoms:
Li 0.1895 0.0547 0.1526 (multiplicity 2)
Sn 0.0000 0.5000 0.0000 (multiplicity 1)
Sn 0.5000 0.0000 0.5000 (multiplicity 1)
P 0.2187 0.5164 0.5256 (multiplicity 2)
H 0.4931 0.2578 0.9657 (multiplicity 2)
O 0.0131 0.5246 0.6721 (multiplicity 2)
O 0.1495 0.2092 0.9321 (multiplicity 2)
O 0.2447 0.2599 0.4593 (multiplicity 2)
O 0.2947 0.7762 0.1445 (multiplicity 2)
O 0.3845 0.2818 0.0665 (multiplicity 2)


--- c ---
The following is a DFT calculation (PBE) of LiSnPHO5 after structural relaxation.

a = 5.1473 Å, b = 5.8813 Å, c = 8.2662 Å
α = 107.14°, β = 106.91°, γ = 97.10°
Space group P-1 (No. 2)
One atom of each set of equivalent atoms:
Li 0.2460 0.3998 0.3425 (multiplicity 2)
Sn 0.5000 0.0000 0.0000 (multiplicity 1)
Sn 0.5000 0.0000 0.5000 (multiplicity 1)
P 0.1535 0.3518 0.7120 (multiplicity 2)
H 0.1305 0.9598 0.2118 (multiplicity 2)
O 0.1331 0.7575 0.4524 (multiplicity 2)
O 0.1503 0.6191 0.8010 (multiplicity 2)
O 0.1806 0.2018 0.8369 (multiplicity 2)
O 0.3265 0.0666 0.2652 (multiplicity 2)
O 0.3913 0.3371 0.6246 (multiplicity 2)


Which structure is most stable, and how do the rest compare? From most to least stable: c, a, b.